(1)
This record from Alexandria describes a relaxed structure of PuMgInRh. The functional is PBE.

Results
Formation energy from the elements (eV per atom): -0.171

Lattice parameters (Å, degrees): 6.971 6.971 6.971 90.00 90.00 90.00
Space group F-43m (No. 216)
One atom of each set of equivalent atoms:
Pu: 0.000 0.000 0.000 (multiplicity 4)
Mg: 0.000 0.000 0.500 (multiplicity 4)
In: 0.250 0.250 0.250 (multiplicity 4)
Rh: 0.250 0.250 0.750 (multiplicity 4)

---

(2)
This record from Alexandria describes a relaxed structure of PuMgInRu. The functional is PBE.

Results
Formation energy from the elements (eV per atom): 0.030

Lattice parameters (Å, degrees): 6.855 6.855 6.855 90.00 90.00 90.00
Space group F-43m (No. 216)
One atom of each set of equivalent atoms:
Pu: 0.000 0.000 0.000 (multiplicity 4)
Mg: 0.250 0.250 0.750 (multiplicity 4)
In: 0.000 0.000 0.500 (multiplicity 4)
Ru: 0.250 0.250 0.250 (multiplicity 4)

---

(3)
This record from Alexandria describes a relaxed structure of PuMgInSb. The functional is PBE.

Results
Energy above the lowest structure with this stoichiometry (meV per atom): 144
Raw formation energy (kJ per mole of atoms): -21

Lattice parameters (Å, degrees): 7.413 7.413 7.413 90.00 90.00 90.00
Space group F-43m (No. 216)
One atom of each set of equivalent atoms:
Pu: 0.000 0.000 0.000 (multiplicity 4)
Mg: 0.000 0.000 0.500 (multiplicity 4)
In: 0.250 0.250 0.750 (multiplicity 4)
Sb: 0.250 0.250 0.250 (multiplicity 4)

---

(4)
This record from Alexandria describes a relaxed structure of PuMgInSb. The functional is PBE.

Results
Energy above the lowest structure with this stoichiometry (meV per atom): 0
Raw formation energy (kJ per mole of atoms): -35

Lattice parameters (Å, degrees): 4.388 4.600 4.949 90.00 90.00 90.00
Space group Pmmm (No. 47)
One atom of each set of equivalent atoms:
Pu: 0.000 0.000 0.000 (multiplicity 1)
Mg: 0.000 0.500 0.500 (multiplicity 1)
In: 0.500 0.000 0.500 (multiplicity 1)
Sb: 0.500 0.500 0.000 (multiplicity 1)

---

(5)
This record from Alexandria describes a relaxed structure of PuMgScIn. The functional is PBE.

Results
Formation energy from the elements (eV per atom): -0.097

Lattice parameters (Å, degrees): 7.352 7.352 7.352 90.00 90.00 90.00
Space group F-43m (No. 216)
One atom of each set of equivalent atoms:
Pu: 0.000 0.000 0.000 (multiplicity 4)
Mg: 0.250 0.250 0.250 (multiplicity 4)
Sc: 0.000 0.000 0.500 (multiplicity 4)
In: 0.250 0.250 0.750 (multiplicity 4)

---

(6)
This record from Alexandria describes a relaxed structure of PuMg2InSn. The functional is PBE.

Results
Formation energy from the elements (eV per atom): -0.048

Lattice parameters (Å, degrees): 3.223 18.451 9.224 90.00 90.00 90.00
Space group Cmcm (No. 63)
One atom of each set of equivalent atoms:
Pu: 0.000 0.092 0.250 (multiplicity 4)
Mg: 0.000 0.337 0.044 (multiplicity 8)
In: 0.000 0.500 0.000 (multiplicity 4)
Sn: 0.000 0.253 0.750 (multiplicity 4)

---

no.,calculated volume (Å³ per cell),calculated density (g cm⁻³)
1,338.8,9.53
2,322.1,9.98
3,407.4,8.23
4,99.9,8.39
5,397.4,7.15
6,548.5,6.37